A plane-wave DFT calculation with PBE was carried out for a relaxed structure of FeTe2Se.

Computed properties:
- Fermi-level density of states (states/eV/f.u.) = 2.82
- E_form (uncorrected) (eV/atom) = 0.01
- size of the total moment (μB per formula unit) = 0.2

Lattice parameters (Å, degrees): 3.6415 5.3266 5.3212 58.15 90.00 90.00
Site moments in Bohr magnetons follow the coordinates.
Fractional coordinates of all 4 atoms:
Se 0.5000 0.6711 0.6716  -0.02
Te 0.0000 0.0088 0.0090  0.00
Te 0.5000 0.3136 0.3131  -0.02
Fe 0.0000 0.5064 0.5062  0.28



A plane-wave DFT calculation with PBE was carried out for a relaxed structure of Fe2TeSe.

Computed properties:
- Fermi-level density of states (states/eV/f.u.) = 5.57
- E_form (uncorrected) (eV/atom) = 0.19
- size of the total moment (μB per formula unit) = 4.9

Lattice parameters (Å, degrees): 3.9877 3.9877 5.9528 74.26 74.26 51.81
Site moments in Bohr magnetons follow the coordinates.
Fractional coordinates of all 4 atoms:
Se 0.2500 0.2500 0.2500  0.01
Fe 0.9940 0.9940 0.0661  2.40
Te 0.7500 0.7500 0.7500  -0.07
Fe 0.5060 0.5060 0.4339  2.40